CaMg2Al10 after structural relaxation, computed with PBE-GGA.

Output
- E (eV per atom) = -3.288
- formation energy from the elements (meV/atom) = -9
- symmetry = No. 69

Structure (CIF):
```
data_CaMg2Al10
_chemical_formula_sum 'Ca1 Mg2 Al10'
_cell_length_a 5.626
_cell_length_b 7.214
_cell_length_c 7.256
_cell_angle_alpha 81.31
_cell_angle_beta 67.19
_cell_angle_gamma 67.05
_space_group_name_H-M_alt 'P 1'
_space_group_IT_number 1
loop_
_space_group_symop_operation_xyz
'x,y,z'
loop_
_atom_site_label
_atom_site_fract_x
_atom_site_fract_y
_atom_site_fract_z
_atom_site_occupancy
Ca1 0.000 0.000 0.000 1
Mg1 0.000 0.000 0.500 1
Mg2 0.500 0.000 0.500 1
Al1 0.990 0.366 0.654 1
Al2 0.010 0.634 0.346 1
Al3 0.644 0.366 0.346 1
Al4 0.356 0.634 0.654 1
Al5 0.500 0.500 0.000 1
Al6 0.000 0.500 0.000 1
Al7 0.507 0.775 0.211 1
Al8 0.493 0.225 0.789 1
Al9 0.718 0.775 0.789 1
Al10 0.282 0.225 0.211 1
```



Ca2MgAl after structural relaxation, computed with PBE-GGA.

Output
- E (eV per atom) = -2.280
- formation energy from the elements (meV/atom) = 56
- symmetry = No. 12

Structure (CIF):
```
data_Ca2MgAl
_chemical_formula_sum 'Ca2 Mg1 Al1'
_cell_length_a 5.476
_cell_length_b 5.476
_cell_length_c 6.752
_cell_angle_alpha 82.17
_cell_angle_beta 82.17
_cell_angle_gamma 36.71
_space_group_name_H-M_alt 'P 1'
_space_group_IT_number 1
loop_
_space_group_symop_operation_xyz
'x,y,z'
loop_
_atom_site_label
_atom_site_fract_x
_atom_site_fract_y
_atom_site_fract_z
_atom_site_occupancy
Al1 0.250 0.250 0.250 1
Ca1 0.993 0.993 0.016 1
Ca2 0.507 0.507 0.484 1
Mg1 0.750 0.750 0.750 1
```



CaMgAl2 after structural relaxation, computed with PBE-GGA.

Output
- E (eV per atom) = -2.829
- formation energy from the elements (meV/atom) = -59
- symmetry = No. 12

Structure (CIF):
```
data_CaMgAl2
_chemical_formula_sum 'Ca1 Mg1 Al2'
_cell_length_a 4.681
_cell_length_b 4.703
_cell_length_c 5.748
_cell_angle_alpha 113.97
_cell_angle_beta 90.00
_cell_angle_gamma 119.84
_space_group_name_H-M_alt 'P 1'
_space_group_IT_number 1
loop_
_space_group_symop_operation_xyz
'x,y,z'
loop_
_atom_site_label
_atom_site_fract_x
_atom_site_fract_y
_atom_site_fract_z
_atom_site_occupancy
Ca1 0.750 0.500 0.250 1
Mg1 0.250 0.500 0.750 1
Al1 0.965 0.929 0.893 1
Al2 0.535 0.071 0.607 1
```



CaMg6Al after structural relaxation, computed with PBE-GGA.

Output
- E (eV per atom) = -1.911
- offset from the most stable computed form (meV per atom) = 0.0
- formation energy from the elements (meV/atom) = 3
- symmetry = No. 38

Structure (CIF):
```
data_CaMg6Al
_chemical_formula_sum 'Ca1 Mg6 Al1'
_cell_length_a 6.646
_cell_length_b 6.646
_cell_length_c 5.160
_cell_angle_alpha 90.00
_cell_angle_beta 90.00
_cell_angle_gamma 122.93
_space_group_name_H-M_alt 'P 1'
_space_group_IT_number 1
loop_
_space_group_symop_operation_xyz
'x,y,z'
loop_
_atom_site_label
_atom_site_fract_x
_atom_site_fract_y
_atom_site_fract_z
_atom_site_occupancy
Ca1 0.324 0.676 0.500 1
Mg1 0.826 0.672 0.500 1
Mg2 0.328 0.174 0.500 1
Mg3 0.676 0.835 0.000 1
Mg4 0.165 0.324 0.000 1
Mg5 0.680 0.320 0.000 1
Mg6 0.158 0.842 0.000 1
Al1 0.844 0.156 0.500 1
```



Ca2MgAl after structural relaxation, computed with PBE-GGA.

Output
- E (eV per atom) = -2.359
- formation energy from the elements (meV/atom) = -24
- symmetry = No. 119

Structure (CIF):
```
data_Ca2MgAl
_chemical_formula_sum 'Ca2 Mg1 Al1'
_cell_length_a 5.318
_cell_length_b 5.318
_cell_length_c 5.318
_cell_angle_alpha 119.64
_cell_angle_beta 119.64
_cell_angle_gamma 90.63
_space_group_name_H-M_alt 'P 1'
_space_group_IT_number 1
loop_
_space_group_symop_operation_xyz
'x,y,z'
loop_
_atom_site_label
_atom_site_fract_x
_atom_site_fract_y
_atom_site_fract_z
_atom_site_occupancy
Al1 0.750 0.250 0.500 1
Ca1 0.000 0.000 0.000 1
Ca2 0.250 0.750 0.500 1
Mg1 0.500 0.500 0.000 1
```



Ca6MgAl2 after structural relaxation, computed with PBE-GGA.

Output
- E (eV per atom) = -2.455
- formation energy from the elements (meV/atom) = -112
- symmetry = No. 71

Structure (CIF):
```
data_Ca6MgAl2
_chemical_formula_sum 'Ca12 Mg2 Al4'
_cell_length_a 10.421
_cell_length_b 9.258
_cell_length_c 9.258
_cell_angle_alpha 65.69
_cell_angle_beta 55.75
_cell_angle_gamma 55.75
_space_group_name_H-M_alt 'P 1'
_space_group_IT_number 1
loop_
_space_group_symop_operation_xyz
'x,y,z'
loop_
_atom_site_label
_atom_site_fract_x
_atom_site_fract_y
_atom_site_fract_z
_atom_site_occupancy
Ca1 0.279 0.189 0.811 1
Ca2 0.721 0.811 0.189 1
Ca3 0.721 0.189 0.811 1
Ca4 0.279 0.811 0.189 1
Ca5 0.755 0.449 0.041 1
Ca6 0.245 0.551 0.959 1
Ca7 0.755 0.041 0.449 1
Ca8 0.245 0.959 0.551 1
Ca9 0.979 0.323 0.323 1
Ca10 0.021 0.677 0.677 1
Ca11 0.375 0.323 0.323 1
Ca12 0.625 0.677 0.677 1
Mg1 0.500 0.500 0.500 1
Mg2 0.000 0.000 0.000 1
Al1 0.387 0.113 0.113 1
Al2 0.613 0.887 0.887 1
Al3 0.000 0.359 0.641 1
Al4 0.000 0.641 0.359 1
```



Q: What is the formation energy from the elements in the fifth record?
A: -24 meV/atom



What did the third record say?
CaMgAl2 after structural relaxation, computed with PBE-GGA.

Output
- E (eV per atom) = -2.829
- formation energy from the elements (meV/atom) = -59
- symmetry = No. 12

Structure (CIF):
```
data_CaMgAl2
_chemical_formula_sum 'Ca1 Mg1 Al2'
_cell_length_a 4.681
_cell_length_b 4.703
_cell_length_c 5.748
_cell_angle_alpha 113.97
_cell_angle_beta 90.00
_cell_angle_gamma 119.84
_space_group_name_H-M_alt 'P 1'
_space_group_IT_number 1
loop_
_space_group_symop_operation_xyz
'x,y,z'
loop_
_atom_site_label
_atom_site_fract_x
_atom_site_fract_y
_atom_site_fract_z
_atom_site_occupancy
Ca1 0.750 0.500 0.250 1
Mg1 0.250 0.500 0.750 1
Al1 0.965 0.929 0.893 1
Al2 0.535 0.071 0.607 1
```



Q: What is the formula in the sixth record?
A: Ca6MgAl2



Repeat the sixth record exactly.
Ca6MgAl2 after structural relaxation, computed with PBE-GGA.

Output
- E (eV per atom) = -2.455
- formation energy from the elements (meV/atom) = -112
- symmetry = No. 71

Structure (CIF):
```
data_Ca6MgAl2
_chemical_formula_sum 'Ca12 Mg2 Al4'
_cell_length_a 10.421
_cell_length_b 9.258
_cell_length_c 9.258
_cell_angle_alpha 65.69
_cell_angle_beta 55.75
_cell_angle_gamma 55.75
_space_group_name_H-M_alt 'P 1'
_space_group_IT_number 1
loop_
_space_group_symop_operation_xyz
'x,y,z'
loop_
_atom_site_label
_atom_site_fract_x
_atom_site_fract_y
_atom_site_fract_z
_atom_site_occupancy
Ca1 0.279 0.189 0.811 1
Ca2 0.721 0.811 0.189 1
Ca3 0.721 0.189 0.811 1
Ca4 0.279 0.811 0.189 1
Ca5 0.755 0.449 0.041 1
Ca6 0.245 0.551 0.959 1
Ca7 0.755 0.041 0.449 1
Ca8 0.245 0.959 0.551 1
Ca9 0.979 0.323 0.323 1
Ca10 0.021 0.677 0.677 1
Ca11 0.375 0.323 0.323 1
Ca12 0.625 0.677 0.677 1
Mg1 0.500 0.500 0.500 1
Mg2 0.000 0.000 0.000 1
Al1 0.387 0.113 0.113 1
Al2 0.613 0.887 0.887 1
Al3 0.000 0.359 0.641 1
Al4 0.000 0.641 0.359 1
```